1.
## BaEu2ZnO5 (PBE)

Data for BaEu2ZnO5 after structural relaxation.

Unit cell a=5.8440 b=7.3070 c=12.6941 alpha=90.00 beta=90.00 gamma=90.00
Site moments in Bohr magnetons follow the coordinates.
Atoms (fractional coordinates):
O  0.7500  0.9356  0.9019  0.01
O  0.2500  0.4356  0.5981  0.01
O  0.0053  0.8504  0.2739  -0.03
O  0.9947  0.3504  0.2261  -0.03
O  0.4929  0.8299  0.5645  0.07
O  0.0071  0.6701  0.0645  0.07
O  0.5053  0.3504  0.2261  -0.03
O  0.0071  0.8299  0.5645  0.07
O  0.9947  0.1496  0.7261  -0.03
O  0.9929  0.1701  0.4355  0.07
O  0.5071  0.1701  0.4355  0.07
O  0.2500  0.0644  0.0981  0.01
O  0.7500  0.5644  0.4019  0.01
O  0.5053  0.1496  0.7261  -0.03
O  0.9929  0.3299  0.9355  0.07
O  0.4947  0.8504  0.2739  -0.03
O  0.4947  0.6496  0.7739  -0.03
O  0.4929  0.6701  0.0645  0.07
O  0.5071  0.3299  0.9355  0.07
O  0.0053  0.6496  0.7739  -0.03
Zn  0.7500  0.1965  0.8503  0.03
Zn  0.7500  0.3035  0.3503  0.03
Zn  0.2500  0.6965  0.6497  0.03
Zn  0.2500  0.8035  0.1497  0.03
Eu  0.2500  0.1070  0.5722  -6.28
Eu  0.2500  0.3930  0.0722  -6.28
Eu  0.7500  0.8930  0.4278  -6.28
Eu  0.7500  0.8851  0.7103  6.27
Eu  0.7500  0.6149  0.2103  6.27
Eu  0.7500  0.6070  0.9278  -6.28
Eu  0.2500  0.1149  0.2897  6.27
Eu  0.2500  0.3851  0.7897  6.27
Ba  0.2500  0.9265  0.8999  0.00
Ba  0.7500  0.4265  0.6001  0.00
Ba  0.7500  0.0735  0.1001  0.00
Ba  0.2500  0.5735  0.3999  0.00

Summary:
E_form (uncorrected) = -2061 kJ/mol of formula units
raw total energy = -7.77 eV per atom
total magnetization = 0.13 μB per formula unit
calculated volume = 542 Å³ per cell
density of states at the Fermi level = 2.08 states/eV per atom


2.
## BaEu3Os (PBE)

Data for BaEu3Os after structural relaxation.

Unit cell a=5.7494 b=5.7494 c=5.7494 alpha=90.00 beta=90.00 gamma=90.00
Site moments in Bohr magnetons follow the coordinates.
Atoms (fractional coordinates):
Eu  0.0000  0.5000  0.0000  6.84
Eu  0.5000  0.0000  0.0000  6.84
Eu  0.0000  0.0000  0.5000  6.84
Ba  0.5000  0.5000  0.5000  0.15
Os  0.0000  0.0000  0.0000  -0.72

Summary:
raw total energy = -8.64 eV per atom
E_form = 157.6 meV/atom
total magnetization = 21.47 μB per formula unit
calculated volume = 190 Å³ per cell
density of states at the Fermi level = 3.51 states/eV per atom


3.
## BaEu3P (PBE)

Data for BaEu3P after structural relaxation.

Unit cell a=5.8921 b=5.8921 c=5.8921 alpha=90.00 beta=90.00 gamma=90.00
Site moments in Bohr magnetons follow the coordinates.
Atoms (fractional coordinates):
P  0.0000  0.0000  0.0000  -0.08
Eu  0.0000  0.0000  0.5000  6.94
Eu  0.0000  0.5000  0.0000  6.94
Eu  0.5000  0.0000  0.0000  6.94
Ba  0.5000  0.5000  0.5000  0.18

Summary:
raw total energy = -8.08 eV per atom
E_form = -453.8 meV/atom
total magnetization = 22.72 μB per formula unit
calculated volume = 205 Å³ per cell
density of states at the Fermi level = 3.69 states/eV per atom


4.
## BaEu2P (PBE)

Data for BaEu2P after structural relaxation.

Unit cell a=4.2328 b=4.2328 c=11.5783 alpha=79.47 beta=79.47 gamma=60.00
Site moments in Bohr magnetons follow the coordinates.
Atoms (fractional coordinates):
P  0.5000  0.5000  0.5000  -0.08
Eu  0.1201  0.1201  0.6398  6.87
Eu  0.8799  0.8799  0.3602  6.87
Ba  0.0000  0.0000  0.0000  0.05

Summary:
raw total energy = -7.53 eV per atom
E_form = -556.9 meV/atom
total magnetization = 14.78 μB per formula unit
calculated volume = 176 Å³ per cell
density of states at the Fermi level = 5.57 states/eV per atom


5.
## BaEuP (PBE)

Data for BaEuP after structural relaxation.

Unit cell a=4.9368 b=4.9321 c=4.9321 alpha=120.00 beta=90.00 gamma=90.00
Site moments in Bohr magnetons follow the coordinates.
Atoms (fractional coordinates):
P  0.1654  0.0000  0.0000  -0.05
Eu  0.1674  0.3333  0.6667  6.91
Ba  0.6672  0.6667  0.3333  0.11

Summary:
raw total energy = -6.59 eV per atom
E_form = -725.5 meV/atom
total magnetization = 7.56 μB per formula unit
calculated volume = 104 Å³ per cell
density of states at the Fermi level = 3.02 states/eV per atom


6.
## BaEuP (PBE)

Data for BaEuP after structural relaxation.

Unit cell a=3.8789 b=3.8789 c=7.6138 alpha=104.76 beta=104.76 gamma=90.00
Site moments in Bohr magnetons follow the coordinates.
Atoms (fractional coordinates):
Eu  0.0581  0.0581  0.1162  -6.90
P  0.6549  0.6549  0.3099  0.03
Ba  0.2870  0.2870  0.5739  -0.09

Summary:
raw total energy = -6.58 eV per atom
E_form = -707.1 meV/atom
total magnetization = 7.71 μB per formula unit
calculated volume = 107 Å³ per cell
density of states at the Fermi level = 1.58 states/eV per atom